# 1
CeMg2Pb2 (GGA-PBE, relaxed); raw total energy = -3.22 eV per atom
1.0
5.1273 0.0000 0.0000
-2.5637 4.4404 0.0000
0.0000 0.0000 13.1787
Mg Pb Ce
4 4 2
Direct
0.0000 0.0000 0.0000 Mg
0.0000 0.0000 0.5000 Mg
0.3333 0.6667 0.2500 Mg
0.6667 0.3333 0.7500 Mg
0.3333 0.6667 0.6230 Pb
0.3333 0.6667 0.8770 Pb
0.6667 0.3333 0.1230 Pb
0.6667 0.3333 0.3770 Pb
0.0000 0.0000 0.2500 Ce
0.0000 0.0000 0.7500 Ce

=====

# 2
Pu4Sn3Pb (GGA-PBE, relaxed); raw total energy = -9.47 eV per atom
1.0
-1.4539 2.7521 -1.3004
-2.0096 -1.9503 -1.8807
-12.5755 -0.1973 13.6419
Pu Sn Pb
4 3 1
Direct
0.0000 0.0000 0.3768 Pu
0.0000 0.0000 0.1293 Pu
0.0000 0.0000 0.6232 Pu
0.0000 0.0000 0.8707 Pu
0.5000 0.5000 0.7474 Sn
0.5000 0.5000 0.2526 Sn
0.5000 0.5000 0.5000 Sn
0.5000 0.5000 0.0000 Pb

=====

# 3
Hf6Zn2Fe (GGA-PBE, relaxed); raw total energy = -8.01 eV per atom
1.0
3.2519 0.0000 0.0000
0.0000 7.1148 -3.2762
0.0000 -0.7209 7.7981
Hf Zn Fe
6 2 1
Direct
0.0000 0.7493 0.7494 Hf
0.5000 0.6067 0.0000 Hf
0.5000 0.3931 0.3930 Hf
0.0000 0.9999 0.2506 Hf
0.5000 0.0001 0.6070 Hf
0.0000 0.2506 0.0000 Hf
0.0000 0.6668 0.3334 Zn
0.0000 0.3333 0.6666 Zn
0.5000 0.0001 0.0000 Fe

=====

# 4
La2PrRh2 (GGA-PBE, relaxed); raw total energy = -6.35 eV per atom
1.0
-0.8051 2.8678 3.7279
-1.1125 -1.8503 4.2554
5.7984 0.0965 4.2427
Pr La Rh
1 2 2
Direct
0.0000 0.5000 0.0000 Pr
0.2177 0.7177 0.3451 La
0.7823 0.2823 0.6549 La
0.6102 0.1102 0.1700 Rh
0.3898 0.8898 0.8300 Rh

=====

# 5
ZrNiAs (GGA-PBE, relaxed); raw total energy = -7.18 eV per atom
1.0
3.8821 0.0000 0.0000
0.0000 6.4993 0.0562
0.0000 0.0834 11.2271
Zr Ni As
6 6 6
Direct
0.7500 0.5172 0.3801 Zr
0.2500 0.9781 0.7028 Zr
0.7500 0.0219 0.2972 Zr
0.2500 0.3407 0.9240 Zr
0.2500 0.4828 0.6199 Zr
0.7500 0.6593 0.0760 Zr
0.7500 0.6369 0.8022 Ni
0.2500 0.3631 0.1978 Ni
0.2500 0.8387 0.4516 Ni
0.7500 0.1613 0.5484 Ni
0.7500 0.0089 0.9115 Ni
0.2500 0.9911 0.0885 Ni
0.2500 0.2211 0.4257 As
0.7500 0.2760 0.7539 As
0.7500 0.2295 0.0911 As
0.2500 0.7705 0.9089 As
0.2500 0.7240 0.2461 As
0.7500 0.7789 0.5743 As

=====

# 6
Li2PAu2 (GGA-PBE, relaxed); raw total energy = -3.45 eV per atom
1.0
6.5962 0.0000 0.0000
0.0000 6.5962 0.0000
0.0000 0.0000 3.9462
Au Li P
4 4 2
Direct
0.8465 0.6535 0.0000 Au
0.1535 0.3465 0.0000 Au
0.3465 0.8465 0.0000 Au
0.6535 0.1535 0.0000 Au
0.8426 0.3426 0.5000 Li
0.1574 0.6574 0.5000 Li
0.6574 0.8426 0.5000 Li
0.3426 0.1574 0.5000 Li
0.5000 0.5000 0.0000 P
0.0000 0.0000 0.0000 P

=====

# 7
Ca2Ga4CuPt3 (GGA-PBE, relaxed); raw total energy = -4.59 eV per atom
1.0
4.3573 0.0000 0.0000
0.0000 4.3573 0.0000
0.0000 0.0000 10.1279
Cu Ga Pt Ca
1 4 3 2
Direct
0.5000 0.5000 0.5000 Cu
0.0000 0.0000 0.0000 Ga
0.5000 0.5000 0.0000 Ga
0.5000 0.0000 0.6223 Ga
0.0000 0.5000 0.3777 Ga
0.5000 0.0000 0.8675 Pt
0.0000 0.5000 0.1325 Pt
0.0000 0.0000 0.5000 Pt
0.5000 0.0000 0.2553 Ca
0.0000 0.5000 0.7447 Ca

=====

# 8
Rb2RhCl (GGA-PBE, relaxed); formation energy without anion corrections = -0.022 eV/atom; raw total energy = -2.81 eV per atom
1.0
-3.4995 -1.3882 -8.0640
8.1271 -1.6103 -3.2497
1.8369 -5.8268 -4.7050
Rb Rh Cl
4 2 2
Direct
0.8750 0.8450 0.7500 Rb
0.3750 0.4050 0.7500 Rb
0.1550 0.6250 0.2500 Rb
0.5950 0.1250 0.2500 Rb
0.7500 0.2500 0.5000 Rh
0.0000 0.0000 0.0000 Rh
0.5000 0.5000 0.0000 Cl
0.2500 0.7500 0.5000 Cl

=====

# 9
ThHg3 (GGA-PBE, relaxed); raw total energy = -2.27 eV per atom
1.0
5.1849 0.0000 0.0000
0.0000 5.1849 0.0000
-2.5925 -2.5925 3.7340
Hg Th
3 1
Direct
0.7500 0.2500 0.5000 Hg
0.2500 0.7500 0.5000 Hg
0.5000 0.5000 0.0000 Hg
0.0000 0.0000 0.0000 Th

=====

# 10
NpIr2 (GGA-PBE, relaxed); raw total energy = -10.25 eV per atom
1.0
-0.9644 -1.0819 -3.2310
0.2715 -3.3610 1.0815
-3.9298 1.6184 1.9815
Ir Np
2 1
Direct
0.1792 0.1792 0.3276 Ir
0.8208 0.8208 0.6724 Ir
0.5000 0.5000 0.0000 Np

=====

# 11
CaMg3Ag3 (GGA-PBE, relaxed); raw total energy = -1.99 eV per atom
1.0
-6.1517 -3.5237 -2.0080
3.9147 -6.1126 -1.2664
-1.0602 -2.1241 6.9754
Mg Ag Ca
6 6 2
Direct
0.0000 0.2500 0.5000 Mg
0.0000 0.7500 0.5000 Mg
0.7500 0.5000 0.0000 Mg
0.2500 0.5000 0.0000 Mg
0.5000 0.0000 0.2500 Mg
0.5000 0.0000 0.7500 Mg
0.0000 0.5000 0.2500 Ag
0.7500 0.0000 0.5000 Ag
0.5000 0.2500 0.0000 Ag
0.0000 0.5000 0.7500 Ag
0.5000 0.7500 0.0000 Ag
0.2500 0.0000 0.5000 Ag
0.0000 0.0000 0.0000 Ca
0.5000 0.5000 0.5000 Ca

=====

# 12
LiLa3Os (GGA-PBE, relaxed); raw total energy = -5.62 eV per atom
1.0
-3.4041 0.9935 -2.1565
-5.3001 -2.5009 4.8134
-1.2740 8.9005 4.2426
Li Os La
2 2 6
Direct
0.3430 0.5368 0.6340 Li
0.7674 0.3090 0.7877 Li
0.4044 0.0792 0.3088 Os
0.7057 0.7669 0.1127 Os
0.7855 0.7870 0.8224 La
0.1354 0.0409 0.0559 La
0.7941 0.3312 0.3560 La
0.3245 0.0587 0.5990 La
0.9746 0.8052 0.3655 La
0.3160 0.5148 0.0657 La